A relaxed structure of Cs2BeTe. Source: the Alexandria database, functional PBE-GGA.

Results
Magnetic moment   0.00 μB/cell
Raw formation energy   0.3129 eV per atom
Offset from the most stable computed form   268.0 meV per atom

a = 6.481 Å, b = 6.481 Å, c = 22.617 Å
α = 90.00°, β = 90.00°, γ = 90.00°
Space group I-42d (No. 122)
Inequivalent atoms, fractional coordinates:
Cs 0.246 0.250 0.125
Be 0.000 0.000 0.000
Te 0.000 0.000 0.500